Entry 1:
Pm2Si6Rh | PBE-GGA | optimized geometry

Calculated values
Its space group is No. 164. The density of states at the Fermi level is 0.23 states/eV/atom. The value obtained for the spin magnetization is 0.0000 μB/atom.

Geometry as CIF:
```
data_Pm2Si6Rh
_chemical_formula_sum 'Pm2 Si6 Rh1'
_cell_length_a 5.7846
_cell_length_b 5.7846
_cell_length_c 5.3682
_cell_angle_alpha 90.00
_cell_angle_beta 90.00
_cell_angle_gamma 120.00
_symmetry_space_group_name_H-M 'P 1'
_symmetry_Int_Tables_number 1
loop_
_symmetry_equiv_pos_as_xyz
'x,y,z'
loop_
_atom_site_label
_atom_site_fract_x
_atom_site_fract_y
_atom_site_fract_z
Pm1 0.3333 0.6667 0.3440
Pm2 0.6667 0.3333 0.6560
Si1 0.1829 0.3659 0.8285
Si2 0.1829 0.8171 0.8285
Si3 0.3659 0.1829 0.1715
Si4 0.6341 0.8171 0.8285
Si5 0.8171 0.1829 0.1715
Si6 0.8171 0.6341 0.1715
Rh1 0.0000 0.0000 0.5000
```

---

Entry 2:
RbTl2Ga2 | PBE-GGA | optimized geometry

Calculated values
Its space group is No. 139. The formation energy is -6 kJ/mol of formula units. The density of states at the Fermi level is 0.40 states/eV/atom. The value obtained for the spin magnetization is 0.0000 μB/atom. Its offset from the most stable computed form is 0.046 eV per atom.

Geometry as CIF:
```
data_RbTl2Ga2
_chemical_formula_sum 'Rb1 Tl2 Ga2'
_cell_length_a 7.2063
_cell_length_b 7.2063
_cell_length_c 7.2063
_cell_angle_alpha 139.97
_cell_angle_beta 139.97
_cell_angle_gamma 57.89
_symmetry_space_group_name_H-M 'P 1'
_symmetry_Int_Tables_number 1
loop_
_symmetry_equiv_pos_as_xyz
'x,y,z'
loop_
_atom_site_label
_atom_site_fract_x
_atom_site_fract_y
_atom_site_fract_z
Rb1 0.0000 0.0000 0.0000
Tl1 0.3759 0.3759 0.0000
Tl2 0.6241 0.6241 0.0000
Ga1 0.2500 0.7500 0.5000
Ga2 0.7500 0.2500 0.5000
```

---

Entry 3:
LaErGa2 | PBE-GGA | optimized geometry

Calculated values
Its space group is No. 166. The formation energy is -142 kJ/mol of formula units. The density of states at the Fermi level is 0.68 states/eV/atom. The value obtained for the spin magnetization is 0.0000 μB/atom.

Geometry as CIF:
```
data_LaErGa2
_chemical_formula_sum 'La1 Er1 Ga2'
_cell_length_a 9.2019
_cell_length_b 9.2019
_cell_length_c 9.2019
_cell_angle_alpha 23.34
_cell_angle_beta 23.34
_cell_angle_gamma 23.34
_symmetry_space_group_name_H-M 'P 1'
_symmetry_Int_Tables_number 1
loop_
_symmetry_equiv_pos_as_xyz
'x,y,z'
loop_
_atom_site_label
_atom_site_fract_x
_atom_site_fract_y
_atom_site_fract_z
La1 0.0000 0.0000 0.0000
Er1 0.5000 0.5000 0.5000
Ga1 0.2454 0.2454 0.2454
Ga2 0.7546 0.7546 0.7546
```

---

Entry 4:
ErPdPtRh | PBE-GGA | optimized geometry

Calculated values
Its space group is No. 47. The formation energy is -313 kJ/mol of formula units. The density of states at the Fermi level is 1.29 states/eV/atom. The value obtained for the spin magnetization is 0.0000 μB/atom. Its offset from the most stable computed form is 0.000 eV per atom.

Geometry as CIF:
```
data_ErPdPtRh
_chemical_formula_sum 'Er1 Pd1 Pt1 Rh1'
_cell_length_a 4.0423
_cell_length_b 4.0801
_cell_length_c 4.1061
_cell_angle_alpha 90.00
_cell_angle_beta 90.00
_cell_angle_gamma 90.00
_symmetry_space_group_name_H-M 'P 1'
_symmetry_Int_Tables_number 1
loop_
_symmetry_equiv_pos_as_xyz
'x,y,z'
loop_
_atom_site_label
_atom_site_fract_x
_atom_site_fract_y
_atom_site_fract_z
Er1 0.0000 0.0000 0.0000
Pd1 0.5000 0.5000 0.0000
Pt1 0.0000 0.5000 0.5000
Rh1 0.5000 0.0000 0.5000
```

---

Entry 5:
NdZn9Au2 | PBE-GGA | optimized geometry

Calculated values
Its space group is No. 191. The formation energy is -200 kJ/mol of formula units. The density of states at the Fermi level is 0.19 states/eV/atom. The value obtained for the spin magnetization is 0.0000 μB/atom. Its offset from the most stable computed form is 0.127 eV per atom.

Geometry as CIF:
```
data_NdZn9Au2
_chemical_formula_sum 'Nd1 Zn9 Au2'
_cell_length_a 8.7737
_cell_length_b 8.7737
_cell_length_c 3.1767
_cell_angle_alpha 90.00
_cell_angle_beta 90.00
_cell_angle_gamma 120.00
_symmetry_space_group_name_H-M 'P 1'
_symmetry_Int_Tables_number 1
loop_
_symmetry_equiv_pos_as_xyz
'x,y,z'
loop_
_atom_site_label
_atom_site_fract_x
_atom_site_fract_y
_atom_site_fract_z
Nd1 0.0000 0.0000 0.0000
Zn1 0.0000 0.5000 0.0000
Zn2 0.1835 0.3670 0.5000
Zn3 0.1835 0.8165 0.5000
Zn4 0.3670 0.1835 0.5000
Zn5 0.5000 0.0000 0.0000
Zn6 0.5000 0.5000 0.0000
Zn7 0.6330 0.8165 0.5000
Zn8 0.8165 0.1835 0.5000
Zn9 0.8165 0.6330 0.5000
Au1 0.3333 0.6667 0.0000
Au2 0.6667 0.3333 0.0000
```

---

Entry 6:
PPdPbO2 | PBE-GGA | optimized geometry

Calculated values
Its space group is No. 123. The density of states at the Fermi level is 1.17 states/eV/atom. The value obtained for the spin magnetization is 0.2492 μB/atom. Its offset from the most stable computed form is 0.449 eV per atom.

Geometry as CIF:
```
data_PPdPbO2
_chemical_formula_sum 'P1 Pd1 Pb1 O2'
_cell_length_a 4.0552
_cell_length_b 4.0552
_cell_length_c 5.8007
_cell_angle_alpha 90.00
_cell_angle_beta 90.00
_cell_angle_gamma 90.00
_symmetry_space_group_name_H-M 'P 1'
_symmetry_Int_Tables_number 1
loop_
_symmetry_equiv_pos_as_xyz
'x,y,z'
loop_
_atom_site_label
_atom_site_fract_x
_atom_site_fract_y
_atom_site_fract_z
P1 0.0000 0.0000 0.0000
Pd1 0.5000 0.5000 0.0000
Pb1 0.0000 0.0000 0.5000
O1 0.0000 0.5000 0.5000
O2 0.5000 0.0000 0.5000
```

---

Computed E_tot (eV for the cell shown) in order:
-54.3; -11.8; -17.0; -26.4; -24.9; -21.9